DFT (PBE-GGA) results for a geometry-optimized Ca2Zn2Pt structure.

a = 5.769 Å, b = 5.769 Å, c = 11.062 Å
α = 111.74°, β = 111.74°, γ = 42.88°
Fractional coordinates of all 10 atoms:
Ca  0.001  0.001  0.335
Ca  0.198  0.198  0.124
Ca  0.802  0.802  0.876
Ca  0.999  0.999  0.665
Zn  0.335  0.335  0.449
Zn  0.486  0.486  0.111
Zn  0.514  0.514  0.889
Zn  0.665  0.665  0.551
Pt  0.294  0.294  0.675
Pt  0.706  0.706  0.325

## Properties
energy of formation from the pure elements = -13.4 kcal/mol of atoms
electronic total energy = -3.10 eV per atom
symmetry = C2/m
E above lowest polymorph = 0.0 meV/atom
total magnetic moment = 0.00 μB/f.u.